Density functional theory data (GGA-PBE) for crystalline In5Ga2Hg6 at its relaxed geometry.

extended XYZ file:
```
26
Lattice="4.1626 0.0876 0.0000 0.2512 11.2980 0.0000 0.0000 0.0000 14.4326" Properties=species:S:1:pos:R:3 pbc="T T T"
In 2.1606 4.0381 6.2962
In 2.2532 7.3475 8.1364
In 2.2862 9.6871 0.9201
In 2.1276 1.6985 13.5125
In 2.2435 6.2818 3.5020
In 2.1702 5.1038 10.9305
In 2.1180 0.6328 3.7142
In 2.2958 10.7528 10.7183
In 2.2069 5.6928 0.0000
In 2.0813 0.0438 7.2163
Ga 0.1320 3.9326 3.9128
Ga 4.2817 7.4529 10.5197
Ga 0.2576 9.5816 3.3035
Ga 4.1561 1.8040 11.1291
Hg 4.1733 1.7514 5.7662
Hg 0.2405 9.6341 8.6663
Hg 4.2989 7.4004 1.4500
Hg 0.1149 3.9852 12.9825
Hg 2.1874 3.3649 1.9427
Hg 2.2263 8.0206 12.4899
Hg 2.3130 9.0139 5.2736
Hg 2.1008 2.3716 9.1589
Hg 0.1876 6.5871 5.8611
Hg 4.2262 4.7985 8.5714
Hg 0.0620 0.9381 1.3551
Hg 4.3518 10.4475 13.0774
```

**Symmetry**: P2_1/c
**Density**: 9.38 g/cm3
**DOS(E_F)**: 4.56 states/eV/f.u.
**M_tot**: 0.00 μB per formula unit
**Energy of formation**: 0.0435 eV per atom
**Total DFT energy (no corrections)**: -41.98 eV for the cell shown